# 1
The following is a PBE calculation of Rb3Cu2I7 after structural relaxation, from Alexandria.

Results
As for the formation energy (no corrections): -734 meV/atom. The total energy is -2.5626 eV/atom. The symmetry is Cmmm, No. 65.

Unit cell a=5.5680 b=5.7341 c=14.7552 alpha=101.20 beta=90.00 gamma=90.00
Closest atoms and distances in Å follow each position.
Atoms (fractional coordinates):
Rb 0.5000 0.5000 0.0000  12 I 3.87-4.00
Rb 0.5000 0.6791 0.3582  8 I 3.74-4.02
Rb 0.5000 0.3209 0.6418  8 I 3.74-4.02
Cu 0.0000 0.9006 0.8012  6 I 2.73-2.88
Cu 0.0000 0.0994 0.1988  6 I 2.73-2.88
I 0.0000 0.8064 0.6128  1 Cu 2.73
I 0.0000 0.4073 0.8146  2 Cu 2.87
I 0.5000 0.0929 0.1857  2 Cu 2.79
I 0.0000 0.5927 0.1854  2 Cu 2.87
I 0.5000 0.9071 0.8143  2 Cu 2.79
I 0.0000 0.1936 0.3872  1 Cu 2.73
I 0.0000 0.0000 0.0000  2 Cu 2.88

---

# 2
The following is a PBE calculation of Rb2CuI after structural relaxation, from Alexandria.

Results
As for the formation energy (no corrections): -446 meV/atom. The energy above the most stable polymorph in this dataset comes out at 0 meV/atom. The total energy is -2.3418 eV/atom. The symmetry is Fm-3m, No. 225.

Unit cell a=6.1786 b=6.1786 c=6.1786 alpha=60.00 beta=60.00 gamma=60.00
Closest atoms and distances in Å follow each position.
Atoms (fractional coordinates):
Cu 0.0000 0.0000 0.0000  8 Rb 3.78
Rb 0.2500 0.2500 0.2500  4 I 3.78, 4 Cu 3.78
Rb 0.7500 0.7500 0.7500  4 I 3.78, 4 Cu 3.78
I 0.5000 0.5000 0.5000  8 Rb 3.78

---

# 3
The following is a PBE calculation of RbCuI2 after structural relaxation, from Alexandria.

Results
As for the formation energy (no corrections): -281 meV/atom. The energy above the most stable polymorph in this dataset comes out at 508 meV/atom. The total energy is -2.3218 eV/atom. The symmetry is Fm-3m, No. 225.

Unit cell a=5.7889 b=5.7889 c=5.7889 alpha=60.00 beta=60.00 gamma=60.00
Closest atoms and distances in Å follow each position.
Atoms (fractional coordinates):
I 0.2500 0.2500 0.2500  4 Rb 3.54, 4 Cu 3.54
I 0.7500 0.7500 0.7500  4 Rb 3.54, 4 Cu 3.54
Rb 0.5000 0.5000 0.5000  8 I 3.54
Cu 0.0000 0.0000 0.0000  8 I 3.54

---

# 4
The following is a PBE calculation of RbCuI2 after structural relaxation, from Alexandria.

Results
As for the formation energy (no corrections): -773 meV/atom. The energy above the most stable polymorph in this dataset comes out at 15 meV/atom. The total energy is -2.8142 eV/atom. The symmetry is I-42d, No. 122.

Unit cell a=8.1863 b=8.1863 c=7.4037 alpha=56.44 beta=56.44 gamma=90.00
Closest atoms and distances in Å follow each position.
Atoms (fractional coordinates):
Rb 0.7500 0.2500 0.5000  4 I 3.70
Rb 0.0000 0.0000 0.0000  4 I 3.70
I 0.8750 0.7758 0.7500  2 Cu 2.65
I 0.3750 0.4742 0.7500  2 Cu 2.65
I 0.5258 0.1250 0.2500  2 Cu 2.65
I 0.2242 0.6250 0.2500  2 Cu 2.65
Cu 0.2500 0.7500 0.5000  4 I 2.65
Cu 0.5000 0.5000 0.0000  4 I 2.65

---

# 5
The following is a PBE calculation of Rb2CuI after structural relaxation, from Alexandria.

Results
As for the formation energy (no corrections): -383 meV/atom. The energy above the most stable polymorph in this dataset comes out at 63 meV/atom. The total energy is -2.2785 eV/atom. The symmetry is I-42d, No. 122.

Unit cell a=8.2195 b=8.2195 c=9.8286 alpha=65.28 beta=65.28 gamma=90.00
Closest atoms and distances in Å follow each position.
Atoms (fractional coordinates):
I 0.0000 0.0000 0.0000  4 Rb 3.60
I 0.7500 0.2500 0.5000  4 Rb 3.60
Cu 0.5000 0.5000 0.0000  4 Rb 3.44
Cu 0.2500 0.7500 0.5000  4 Rb 3.44
Rb 0.1412 0.6250 0.2500  2 Cu 3.44, 2 I 3.60
Rb 0.6088 0.1250 0.2500  2 Cu 3.44, 2 I 3.60
Rb 0.3750 0.3912 0.7500  2 Cu 3.44, 2 I 3.60
Rb 0.8750 0.8588 0.7500  2 Cu 3.44, 2 I 3.60

---

# 6
The following is a PBE calculation of RbCu2I4 after structural relaxation, from Alexandria.

Results
As for the formation energy (no corrections): -520 meV/atom. The energy above the most stable polymorph in this dataset comes out at 0 meV/atom. The total energy is -2.7139 eV/atom. The symmetry is I4/m, No. 87.

Unit cell a=5.8474 b=7.3312 c=7.3313 alpha=80.85 beta=66.50 gamma=66.50
Closest atoms and distances in Å follow each position.
Atoms (fractional coordinates):
Cu 0.2500 0.5000 0.5000  4 I 2.62, 2 Cu 2.92
Cu 0.7500 0.5000 0.5000  4 I 2.62, 2 Cu 2.92
I 0.8140 0.8189 0.5531  2 Cu 2.62
I 0.1860 0.1811 0.4469  2 Cu 2.62
I 0.6329 0.5531 0.1811  2 Cu 2.62
I 0.3671 0.4469 0.8189  2 Cu 2.62
Rb 0.0000 0.0000 0.0000  12 I 3.91-4.37

---

# 7
The following is a PBE calculation of RbCuI2 after structural relaxation, from Alexandria.

Results
As for the formation energy (no corrections): -788 meV/atom. The energy above the most stable polymorph in this dataset comes out at 0 meV/atom. The total energy is -2.8293 eV/atom. The symmetry is Pna2_1, No. 33.

Unit cell a=7.4977 b=8.0136 c=11.0538 alpha=90.00 beta=90.00 gamma=90.00
Closest atoms and distances in Å follow each position.
Atoms (fractional coordinates):
I 0.1087 0.3490 0.8136  2 Cu 2.64-2.71
I 0.1690 0.9325 0.0757  2 Cu 2.64-2.67
I 0.6087 0.6510 0.1864  2 Cu 2.64-2.71
I 0.1690 0.4325 0.4243  2 Cu 2.64-2.67
I 0.6690 0.0675 0.9243  2 Cu 2.64-2.67
I 0.6690 0.5675 0.5757  2 Cu 2.64-2.67
I 0.6087 0.1510 0.3136  2 Cu 2.64-2.71
I 0.1087 0.8490 0.6864  2 Cu 2.64-2.71
Cu 0.5113 0.9661 0.1277  4 I 2.64-2.71
Cu 0.5113 0.4661 0.3723  4 I 2.64-2.71
Cu 0.0113 0.0339 0.8723  4 I 2.64-2.71
Cu 0.0113 0.5339 0.6277  4 I 2.64-2.71
Rb 0.9608 0.3446 0.1274  6 I 3.64-3.84, 1 Cu 3.78
Rb 0.4608 0.6554 0.8726  6 I 3.64-3.84, 1 Cu 3.78
Rb 0.9608 0.8446 0.3726  6 I 3.64-3.84, 1 Cu 3.78
Rb 0.4608 0.1554 0.6274  6 I 3.64-3.84, 1 Cu 3.78

---

# 8
The following is a PBE calculation of RbCu2I4 after structural relaxation, from Alexandria.

Results
As for the formation energy (no corrections): -452 meV/atom. The energy above the most stable polymorph in this dataset comes out at 68 meV/atom. The total energy is -2.6461 eV/atom. The symmetry is P1, No. 1.

Unit cell a=7.7583 b=7.7761 c=13.0588 alpha=126.73 beta=90.44 gamma=89.59
Closest atoms and distances in Å follow each position.
Atoms (fractional coordinates):
Cu 0.6251 0.8737 0.2499  4 I 2.67-2.68
Cu 0.6250 0.3764 0.7501  4 I 2.66-2.68
Cu 0.1249 0.3764 0.7501  4 I 2.66-2.67
Cu 0.6250 0.3734 0.2499  4 I 2.66-2.67
I 0.3892 0.6239 0.2507  2 Cu 2.66-2.68
I 0.8606 0.6227 0.2502  2 Cu 2.67
I 0.8610 0.1235 0.2492  2 Cu 2.66-2.68
I 0.3747 0.1411 0.7504  2 Cu 2.66-2.68
I 0.3737 0.6114 0.7500  2 Cu 2.66-2.67
I 0.8752 0.6113 0.7497  2 Cu 2.66-2.68
I 0.3893 0.1247 0.2497  2 Cu 2.67
I 0.8762 0.1410 0.7501  2 Cu 2.66-2.67
Rb 0.1251 0.6247 0.5000  8 I 3.83-3.86
Rb 0.1249 0.1257 0.0000  8 I 3.83-3.87